Entry 1:
! Hf2PaSn | the Alexandria database | PBE-GGA | optimized geometry; values from VASP
&SYSTEM
  ibrav = 0, nat = 4, ntyp = 3
/
ATOMIC_SPECIES
Pa 231.04 Pa.upf
Hf 178.49 Hf.upf
Sn 118.71 Sn.upf
ATOMIC_POSITIONS angstrom
Pa 5.030 2.904 2.054
Hf 2.515 1.452 1.027
Hf 7.545 4.356 3.080
Sn 0.000 0.000 0.000
CELL_PARAMETERS angstrom
5.030 0.000 0.000
2.515 4.356 0.000
2.515 1.452 4.107
! * excess energy over the best structure of this formula in the dataset: 0.159 eV per atom
! * volume: 90.0 Å³/cell



Entry 2:
! Ta2AlCd | the Alexandria database | PBE-GGA | optimized geometry; values from VASP
&SYSTEM
  ibrav = 0, nat = 4, ntyp = 3
/
ATOMIC_SPECIES
Cd 112.41 Cd.upf
Al 26.98 Al.upf
Ta 180.95 Ta.upf
ATOMIC_POSITIONS angstrom
Cd 2.315 2.242 4.098
Al 0.000 2.082 2.523
Ta 0.000 0.656 5.334
Ta 2.315 0.795 1.465
CELL_PARAMETERS angstrom
4.631 0.000 0.000
0.000 2.914 0.001
0.000 0.561 5.367
! * excess energy over the best structure of this formula in the dataset: 0.061 eV per atom
! * volume: 72.4 Å³/cell



Entry 3:
! La14ErAl | the Alexandria database | PBE-GGA | optimized geometry; values from VASP
&SYSTEM
  ibrav = 0, nat = 16, ntyp = 3
/
ATOMIC_SPECIES
La 138.91 La.upf
Er 167.26 Er.upf
Al 26.98 Al.upf
ATOMIC_POSITIONS angstrom
La 5.334 1.214 5.018
La 5.160 5.845 2.757
La 0.132 4.557 6.385
La 5.305 4.664 6.207
La 0.015 2.292 1.753
La 5.188 2.395 1.568
La 8.071 2.361 7.159
La 2.709 2.253 7.348
La 7.958 0.174 2.688
La 2.596 0.066 2.877
La 8.101 -0.967 6.015
La 2.733 -1.076 6.203
La 7.930 3.503 3.833
La 2.570 3.394 4.021
Er -0.013 5.741 2.939
Al 0.160 1.109 5.200
CELL_PARAMETERS angstrom
-0.056 6.899 2.373
0.290 -2.365 6.896
10.347 0.210 -0.364
! * volume: 551.2 Å³/cell



Entry 4:
! Ca2YSn2 | the Alexandria database | PBE-GGA | optimized geometry; values from VASP
&SYSTEM
  ibrav = 0, nat = 10, ntyp = 3
/
ATOMIC_SPECIES
Y 88.91 Y.upf
Ca 40.08 Ca.upf
Sn 118.71 Sn.upf
ATOMIC_POSITIONS angstrom
Y 0.000 0.000 0.000
Y -0.073 -5.502 3.203
Ca 1.159 -2.473 5.468
Ca -0.182 -7.052 6.864
Ca -3.720 -7.081 3.372
Ca -2.379 -2.502 1.976
Sn 2.338 -5.368 5.513
Sn -0.885 -8.577 4.228
Sn -2.484 -5.636 0.892
Sn 0.739 -2.426 2.177
CELL_PARAMETERS angstrom
-4.918 -7.531 -0.394
4.772 -3.472 6.799
-2.414 1.449 2.435
! * excess energy over the best structure of this formula in the dataset: 0.000 eV per atom
! * volume: 301.8 Å³/cell



no.,formation energy (meV per atom),theoretical density (g/cm3),DFT total energy (eV/atom)
1,-25,13.04,-8.3761
2,84,11.49,-7.0064
3,-27,6.44,-4.8580
4,-544,4.47,-4.2389